one.
A relaxed CoSiIr3 crystal, computed with GGA-PBE.

The space group is Pm-3m (No. 221) and the conventional cell measures 4.4437, 4.4437 and 4.4437 Å, with angles of 90.00, 90.00 and 90.00 degrees. Symmetry generates all atoms from Co at (0.0000, 0.0000, 0.0000), Si at (0.5000, 0.5000, 0.5000) and Ir at (0.0000, 0.0000, 0.5000).

The calculation puts the total magnetic moment at 2.72 μB per cell. Its density of states at the Fermi level is 0.896 states/eV/atom.

two.
A relaxed CoSiIr3 crystal, computed with GGA-PBE.

The space group is Pm-3m (No. 221) and the conventional cell measures 4.3915, 4.3915 and 4.3915 Å, with angles of 90.00, 90.00 and 90.00 degrees. Symmetry generates all atoms from Co at (0.0000, 0.0000, 0.0000), Si at (0.5000, 0.5000, 0.5000) and Ir at (0.0000, 0.5000, 0.5000).

The calculation puts the total magnetic moment at 3.65 μB per cell. Its density of states at the Fermi level is 1.753 states/eV/atom.

Which one sits at the bottom of the stability order? one does.

one.
A relaxed CoSi2Ir2 crystal, computed with GGA-PBE.

The space group is P4/mbm (No. 127) and the conventional cell measures 7.0569, 7.0569 and 2.7577 Å, with angles of 90.00, 90.00 and 90.00 degrees. Symmetry generates all atoms from Co at (0.0000, 0.0000, 0.0000), Si at (0.1556, 0.3444, 0.5000) and Ir at (0.1434, 0.6434, 0.0000).

The calculation puts the total magnetic moment at 3.17 μB per cell. Its density of states at the Fermi level is 0.682 states/eV/atom.

two.
A relaxed CoSi2Ir2 crystal, computed with GGA-PBE.

The space group is P4/mbm (No. 127) and the conventional cell measures 7.0008, 7.0008 and 2.7584 Å, with angles of 90.00, 90.00 and 90.00 degrees. Symmetry generates all atoms from Co at (0.0000, 0.0000, 0.0000), Si at (0.1521, 0.3479, 0.0000) and Ir at (0.1471, 0.6471, 0.5000).

The calculation puts the total magnetic moment at 3.06 μB per cell. Its density of states at the Fermi level is 0.708 states/eV/atom.

Which one sits at the bottom of the stability order? one does.